[1]
A relaxed Nd4Sm2Er3 crystal. Source: Alexandria, functional PBE.

Cell lengths 13.7859, 13.7268, 6.4654 Å; angles 90.00, 93.99, 90.00 degrees
Space group C2/c (No. 15)
Inequivalent atoms, fractional coordinates:
Nd 0.1069 0.2048 0.1121 x8
Nd 0.1293 0.3166 0.6095 x8
Sm 0.2111 0.4414 0.0506 x8
Er 0.0000 0.4649 0.2500 x4
Er 0.0939 0.0677 0.5902 x8

Density of states at the Fermi level, states/eV/f.u.: 10.54
Energy above the lowest structure with this stoichiometry, meV/atom: 68.6
Mass density, g cm⁻³: 7.507
M_tot, μB/cell: 0.000
Energy of formation from the pure elements, eV per atom: 0.086



[2]
A relaxed Nd3SmEr8 crystal. Source: Alexandria, functional PBE.

Cell lengths 8.7102, 8.7102, 11.2952 Å; angles 90.00, 90.00, 90.00 degrees
Space group I-42m (No. 121)
Inequivalent atoms, fractional coordinates:
Nd 0.0000 0.0000 0.0000 x2
Nd 0.0000 0.5000 0.2500 x4
Sm 0.0000 0.0000 0.5000 x2
Er 0.1257 0.1257 0.7474 x8
Er 0.2470 0.2470 0.4940 x8

Density of states at the Fermi level, states/eV/f.u.: 17.36
Mass density, g cm⁻³: 7.445
M_tot, μB/cell: 0.005
Energy of formation from the pure elements, eV per atom: 0.635



[3]
A relaxed Nd2Sm3Er8 crystal. Source: Alexandria, functional PBE.

Cell lengths 7.6477, 20.5846, 5.5596 Å; angles 90.00, 90.00, 90.00 degrees
Space group Cmmm (No. 65)
Inequivalent atoms, fractional coordinates:
Nd 0.0000 0.2409 0.0000 x4
Sm 0.0000 0.0000 0.0000 x2
Sm 0.2084 0.5000 0.5000 x4
Er 0.0000 0.1297 0.5000 x4
Er 0.0000 0.3366 0.5000 x4
Er 0.2118 0.3919 0.0000 x8

Density of states at the Fermi level, states/eV/f.u.: 22.58
Energy above the lowest structure with this stoichiometry, meV/atom: 3.0
Mass density, g cm⁻³: 7.884
M_tot, μB/cell: 0.000
Energy of formation from the pure elements, eV per atom: 0.252



Question: Among the records above, which one has the lowest energy of formation from the pure elements?
Answer: Nd4Sm2Er3